Entry 1:
Density functional theory data (PBE) for a relaxed TbCeInRh crystal.

Values from the calculation:
For the magnetic moment, the calculation gives 0.55 μB/cell. Its space group is No. 216. The density comes out at 8.8 g cm⁻³. As for the formation energy: -0.43 eV per atom.

Geometry as POSCAR:
```
TbCeInRh
1.0
5.1628 0.0000 0.0000
2.5814 4.4711 0.0000
2.5814 1.4904 4.2154
Rh Ce In Tb
1 1 1 1
Cartesian
2.5814 1.4904 1.0539
0.0000 0.0000 0.0000
7.7442 4.4711 3.1616
5.1628 2.9807 2.1077
```

=====

Entry 2:
Density functional theory data (PBE) for a relaxed SmY3Tm2S6 crystal.

Values from the calculation:
For the magnetic moment, the calculation gives 0.00 μB/cell. Its space group is No. 12. The uncorrected energy is -6.799 eV/atom. The density comes out at 6.2 g cm⁻³.

Geometry as POSCAR:
```
SmY3Tm2S6
1.0
6.7783 -0.0122 -0.0010
-3.3981 5.8650 -0.0010
-1.1285 -1.9539 6.3783
Tm Y S Sm
2 3 6 1
Cartesian
3.3775 1.9519 -0.0010
0.0027 3.9009 -0.0010
-2.3184 3.9386 3.1882
4.5701 -0.0397 3.1882
1.1259 1.9494 3.1882
2.2202 3.8442 1.5642
-1.1684 2.0126 1.5874
3.4202 1.8863 4.7890
0.0316 0.0547 4.8122
2.3272 -0.0063 1.5874
-0.0754 3.9051 4.7890
0.0000 0.0000 0.0000
```

=====

Entry 3:
Density functional theory data (PBE) for a relaxed AcFe3I12 crystal.

Values from the calculation:
For the magnetic moment, the calculation gives 29.95 μB/cell. Its space group is No. 176. The uncorrected energy is -3.465 eV/atom. The density comes out at 4.2 g cm⁻³.

Geometry as POSCAR:
```
AcFe3I12
1.0
-2.4547 1.1451 8.2261
-5.0803 -13.2056 0.3222
13.4397 2.5029 3.6620
I Fe Ac
24 6 2
Cartesian
10.5629 0.8186 9.8765
5.1495 -4.0619 11.1342
0.7552 -5.4957 1.0761
-0.3332 -10.8235 8.2457
-0.4260 -4.9447 5.0344
6.2379 1.2659 3.9647
3.7826 -1.2846 5.9523
6.7533 -0.0014 11.0476
4.9392 -7.7313 9.3885
-4.6582 -10.3761 2.3338
2.6014 -0.7336 9.9106
-0.8486 -9.5562 1.1627
2.1221 -8.2730 6.2580
3.7325 -4.8019 4.0617
0.7740 1.2894 6.8900
7.9345 -0.5523 7.0893
5.1307 -10.8470 5.3204
-4.0829 -5.7526 6.4209
3.3033 -8.8240 2.2998
9.9876 -3.8050 5.7895
6.3307 -4.6129 7.1760
0.9655 -1.8263 2.8218
-2.0298 -9.0052 5.1210
2.1721 -4.7557 8.1487
1.3723 -4.2407 3.2793
2.8889 -10.0866 4.5456
3.0158 0.5290 7.6648
8.7278 -0.8355 9.5592
-2.8231 -8.7221 2.6512
4.5324 -5.3169 8.9311
6.6527 -2.4470 4.6053
-0.7480 -7.1106 7.6051
```

=====

Entry 4:
Density functional theory data (PBE) for a relaxed BaMnAgAs2 crystal.

Values from the calculation:
For the magnetic moment, the calculation gives 3.06 μB/cell. Its space group is No. 67. The density comes out at 5.9 g cm⁻³. As for the formation energy: -0.40 eV per atom.

Geometry as POSCAR:
```
BaMnAgAs2
1.0
5.6594 0.0000 0.0000
-2.8297 5.7248 0.0000
0.0000 0.0000 7.7563
Ag Ba Mn As
2 2 2 4
Cartesian
0.0000 0.0000 3.8782
2.8297 0.0000 3.8782
2.8297 2.8624 5.9393
0.0000 2.8624 1.8170
4.2446 0.0000 0.0000
1.4149 0.0000 0.0000
2.8297 4.6036 1.4938
2.8297 1.1211 1.4938
0.0000 4.6036 6.2626
0.0000 1.1211 6.2626
```

=====

Calculated volume (computed, A^3/atom): 24.33, 21.11, 46.95, 25.13